# NdEr2Ni PBE relaxed
data_NdEr2Ni
_cell_length_a 4.794
_cell_length_b 11.872
_cell_length_c 7.301
_cell_angle_alpha 90.00
_cell_angle_beta 90.00
_cell_angle_gamma 90.00
_symmetry_space_group_name_H-M 'C m c m'
_symmetry_Int_Tables_number 63
_symmetry_space_group_name_Hall '-C 2c 2'
loop_
_atom_site_label
_atom_site_type_symbol
_atom_site_fract_x
_atom_site_fract_y
_atom_site_fract_z
_atom_site_occupancy
Nd1 Nd 0.000 0.038 0.250 1
Er1 Er 0.000 0.345 0.030 1
Ni1 Ni 0.000 0.195 0.750 1
# relative energy among the computed polymorphs	0	meV/atom

# NiP2RhS PBE relaxed
data_NiP2RhS
_cell_length_a 9.515
_cell_length_b 3.327
_cell_length_c 5.173
_cell_angle_alpha 90.00
_cell_angle_beta 116.94
_cell_angle_gamma 90.00
_symmetry_space_group_name_H-M 'C 1 m 1'
_symmetry_Int_Tables_number 8
loop_
_symmetry_equiv_pos_as_xyz
'x,y,z'
'x,-y,z'
'x+1/2,y+1/2,z'
'x+1/2,-y+1/2,z'
loop_
_atom_site_label
_atom_site_type_symbol
_atom_site_fract_x
_atom_site_fract_y
_atom_site_fract_z
_atom_site_occupancy
Ni1 Ni 0.000 0.000 0.000 1
P1 P 0.272 0.000 0.211 1
P2 P 0.349 0.000 0.710 1
Rh1 Rh 0.193 0.500 0.840 1
S1 S 0.025 0.500 0.331 1
# relative energy among the computed polymorphs	108	meV/atom
# formation energy without anion corrections	-0.250	eV/atom

Compound: Ho3Tm3Cu4
Source: the Alexandria database
Functional: PBE
Structure: relaxed

Structure (CIF):
```
data_Ho3Tm3Cu4
_cell_length_a 3.691
_cell_length_b 11.125
_cell_length_c 11.019
_cell_angle_alpha 90.00
_cell_angle_beta 90.00
_cell_angle_gamma 90.00
_symmetry_space_group_name_H-M 'A m m 2'
_symmetry_Int_Tables_number 38
loop_
_symmetry_equiv_pos_as_xyz
'x,y,z'
'-x,-y,z'
'-x,y,z'
'x,-y,z'
'x,y+1/2,z+1/2'
'-x,-y+1/2,z+1/2'
'-x,y+1/2,z+1/2'
'x,-y+1/2,z+1/2'
loop_
_atom_site_label
_atom_site_type_symbol
_atom_site_fract_x
_atom_site_fract_y
_atom_site_fract_z
_atom_site_occupancy
Ho1 Ho 0.000 0.000 0.000 1
Ho2 Ho 0.000 0.164 0.660 1
Tm1 Tm 0.000 0.000 0.329 1
Tm2 Tm 0.500 0.249 0.911 1
Cu1 Cu 0.500 0.000 0.538 1
Cu2 Cu 0.500 0.000 0.785 1
Cu3 Cu 0.500 0.122 0.165 1
```

Compound: BaDyHgPb
Source: the Alexandria database
Functional: PBE
Structure: relaxed

Structure (CIF):
```
data_BaDyHgPb
_cell_length_a 8.042
_cell_length_b 8.042
_cell_length_c 8.042
_cell_angle_alpha 90.00
_cell_angle_beta 90.00
_cell_angle_gamma 90.00
_symmetry_space_group_name_H-M 'F -4 3 m'
_symmetry_Int_Tables_number 216
_symmetry_space_group_name_Hall 'F -4 2 3'
loop_
_atom_site_label
_atom_site_type_symbol
_atom_site_fract_x
_atom_site_fract_y
_atom_site_fract_z
_atom_site_occupancy
Ba1 Ba 0.000 0.000 0.000 1
Dy1 Dy 0.000 0.000 0.500 1
Hg1 Hg 0.250 0.250 0.750 1
Pb1 Pb 0.250 0.250 0.250 1
```

# AgPPb PBE relaxed
data_AgPPb
_cell_length_a 6.663
_cell_length_b 6.663
_cell_length_c 6.663
_cell_angle_alpha 90.00
_cell_angle_beta 90.00
_cell_angle_gamma 90.00
_symmetry_space_group_name_H-M 'F -4 3 m'
_symmetry_Int_Tables_number 216
_symmetry_space_group_name_Hall 'F -4 2 3'
loop_
_atom_site_label
_atom_site_type_symbol
_atom_site_fract_x
_atom_site_fract_y
_atom_site_fract_z
_atom_site_occupancy
Ag1 Ag 0.000 0.000 0.000 1
P1 P 0.250 0.250 0.750 1
Pb1 Pb 0.000 0.000 0.500 1
# relative energy among the computed polymorphs	103	meV/atom

# PtRhAu PBE relaxed
data_PtRhAu
_cell_length_a 4.3370
_cell_length_b 4.3370
_cell_length_c 19.8662
_cell_angle_alpha 90.00
_cell_angle_beta 90.00
_cell_angle_gamma 120.00
_symmetry_space_group_name_H-M 'R -3 m'
_symmetry_Int_Tables_number 166
_symmetry_space_group_name_Hall '-R 3 2"'
loop_
_atom_site_label
_atom_site_type_symbol
_atom_site_fract_x
_atom_site_fract_y
_atom_site_fract_z
_atom_site_occupancy
Pt1 Pt 0.0000 0.0000 0.0665 1
Rh1 Rh 0.0000 0.0000 0.3453 1
Au1 Au 0.0000 0.0000 0.2040 1
# relative energy among the computed polymorphs	216	meV/atom

# ReH2Ir2 PBE relaxed
data_ReH2Ir2
_cell_length_a 3.467
_cell_length_b 3.467
_cell_length_c 8.360
_cell_angle_alpha 90.00
_cell_angle_beta 90.00
_cell_angle_gamma 90.00
_symmetry_space_group_name_H-M 'I 4/m m m'
_symmetry_Int_Tables_number 139
_symmetry_space_group_name_Hall '-I 4 2'
loop_
_atom_site_label
_atom_site_type_symbol
_atom_site_fract_x
_atom_site_fract_y
_atom_site_fract_z
_atom_site_occupancy
Re1 Re 0.000 0.000 0.000 1
H1 H 0.000 0.500 0.250 1
Ir1 Ir 0.000 0.000 0.338 1
# relative energy among the computed polymorphs	49	meV/atom

# Li2LaCr PBE relaxed
data_Li2LaCr
_cell_length_a 4.715
_cell_length_b 5.087
_cell_length_c 7.478
_cell_angle_alpha 90.00
_cell_angle_beta 90.00
_cell_angle_gamma 90.00
_symmetry_space_group_name_H-M 'I m m 2'
_symmetry_Int_Tables_number 44
loop_
_symmetry_equiv_pos_as_xyz
'x,y,z'
'-x,-y,z'
'-x,y,z'
'x,-y,z'
'x+1/2,y+1/2,z+1/2'
'-x+1/2,-y+1/2,z+1/2'
'-x+1/2,y+1/2,z+1/2'
'x+1/2,-y+1/2,z+1/2'
loop_
_atom_site_label
_atom_site_type_symbol
_atom_site_fract_x
_atom_site_fract_y
_atom_site_fract_z
_atom_site_occupancy
Li1 Li 0.000 0.000 0.000 1
Li2 Li 0.000 0.500 0.265 1
La1 La 0.000 0.000 0.500 1
Cr1 Cr 0.000 0.500 0.738 1
# relative energy among the computed polymorphs	35	meV/atom

# Li2ZrCu PBE relaxed
data_Li2ZrCu
_cell_length_a 9.215
_cell_length_b 2.780
_cell_length_c 5.412
_cell_angle_alpha 90.00
_cell_angle_beta 97.96
_cell_angle_gamma 90.00
_symmetry_space_group_name_H-M 'C 1 m 1'
_symmetry_Int_Tables_number 8
loop_
_symmetry_equiv_pos_as_xyz
'x,y,z'
'x,-y,z'
'x+1/2,y+1/2,z'
'x+1/2,-y+1/2,z'
loop_
_atom_site_label
_atom_site_type_symbol
_atom_site_fract_x
_atom_site_fract_y
_atom_site_fract_z
_atom_site_occupancy
Li1 Li 0.000 0.000 0.000 1
Li2 Li 0.248 0.000 0.826 1
Zr1 Zr 0.478 0.000 0.474 1
Cu1 Cu 0.229 0.500 0.264 1
# relative energy among the computed polymorphs	121	meV/atom

# CoTe2Se PBE relaxed
data_CoTe2Se
_cell_length_a 6.708
_cell_length_b 3.707
_cell_length_c 7.234
_cell_angle_alpha 90.00
_cell_angle_beta 100.04
_cell_angle_gamma 90.00
_symmetry_space_group_name_H-M 'C 1 2/m 1'
_symmetry_Int_Tables_number 12
loop_
_symmetry_equiv_pos_as_xyz
'x,y,z'
'-x,-y,-z'
'-x,y,-z'
'x,-y,z'
'x+1/2,y+1/2,z'
'-x+1/2,-y+1/2,-z'
'-x+1/2,y+1/2,-z'
'x+1/2,-y+1/2,z'
loop_
_atom_site_label
_atom_site_type_symbol
_atom_site_fract_x
_atom_site_fract_y
_atom_site_fract_z
_atom_site_occupancy
Co1 Co 0.000 0.000 0.000 1
Te1 Te 0.203 0.500 0.190 1
Se1 Se 0.000 0.500 0.500 1
# formation energy without anion corrections	0.015	eV/atom

# Nd8PdRu3Br4 PBE relaxed
data_Nd8PdRu3Br4
_cell_length_a 8.2092
_cell_length_b 8.2092
_cell_length_c 23.6779
_cell_angle_alpha 90.00
_cell_angle_beta 90.00
_cell_angle_gamma 120.00
_symmetry_space_group_name_H-M 'R -3 m'
_symmetry_Int_Tables_number 166
_symmetry_space_group_name_Hall '-R 3 2"'
loop_
_atom_site_label
_atom_site_type_symbol
_atom_site_fract_x
_atom_site_fract_y
_atom_site_fract_z
_atom_site_occupancy
Nd1 Nd 0.0000 0.0000 0.2333 1
Nd2 Nd 0.0125 0.5063 0.7674 1
Pd1 Pd 0.0000 0.0000 0.5000 1
Ru1 Ru 0.0000 0.5000 0.5000 1
Br1 Br 0.0000 0.0000 0.0000 1
Br2 Br 0.0000 0.5000 0.0000 1
# formation energy without anion corrections	-0.858	eV/atom

# BaLiSnAu PBE relaxed
data_BaLiSnAu
_cell_length_a 4.7683
_cell_length_b 4.7683
_cell_length_c 17.7295
_cell_angle_alpha 90.00
_cell_angle_beta 90.00
_cell_angle_gamma 120.00
_symmetry_space_group_name_H-M 'R 3 m'
_symmetry_Int_Tables_number 160
_symmetry_space_group_name_Hall 'R 3 -2"'
loop_
_atom_site_label
_atom_site_type_symbol
_atom_site_fract_x
_atom_site_fract_y
_atom_site_fract_z
_atom_site_occupancy
Ba1 Ba 0.0000 0.0000 0.0000 1
Li1 Li 0.0000 0.0000 0.5133 1
Sn1 Sn 0.0000 0.0000 0.8033 1
Au1 Au 0.0000 0.0000 0.1877 1
# relative energy among the computed polymorphs	0	meV/atom

# TiH3S PBE relaxed
data_TiH3S
_cell_length_a 3.470
_cell_length_b 3.470
_cell_length_c 3.470
_cell_angle_alpha 90.00
_cell_angle_beta 90.00
_cell_angle_gamma 90.00
_symmetry_space_group_name_H-M 'P m -3 m'
_symmetry_Int_Tables_number 221
_symmetry_space_group_name_Hall '-P 4 2 3'
loop_
_atom_site_label
_atom_site_type_symbol
_atom_site_fract_x
_atom_site_fract_y
_atom_site_fract_z
_atom_site_occupancy
Ti1 Ti 0.000 0.000 0.000 1
H1 H 0.000 0.500 0.500 1
S1 S 0.500 0.500 0.500 1
# relative energy among the computed polymorphs	536	meV/atom

Number 1: E_tot -5.123 eV/atom, D(E_F) 3.831 states/eV/f.u.. Number 2: E_tot -5.866 eV/atom, D(E_F) 2.569 states/eV/f.u.. Number 3: E_tot -4.529 eV/atom, D(E_F) 13.356 states/eV/f.u.. Number 4: E_tot -3.018 eV/atom, D(E_F) 3.901 states/eV/f.u.. Number 5: E_tot -3.777 eV/atom, D(E_F) 0.397 states/eV/f.u.. Number 6: E_tot -5.251 eV/atom, D(E_F) 4.184 states/eV/f.u.. Number 7: E_tot -6.976 eV/atom, D(E_F) 3.819 states/eV/f.u.. Number 8: E_tot -4.208 eV/atom, D(E_F) 2.540 states/eV/f.u.. Number 9: E_tot -3.937 eV/atom, D(E_F) 2.219 states/eV/f.u.. Number 10: E_tot -4.203 eV/atom, D(E_F) 3.136 states/eV/f.u.. Number 11: E_tot -5.724 eV/atom, D(E_F) 5.286 states/eV/f.u.. Number 12: E_tot -3.359 eV/atom, D(E_F) 1.865 states/eV/f.u.. Number 13: E_tot -3.637 eV/atom, D(E_F) 2.111 states/eV/f.u..